No. 1
## Y2Tm3Bi2 (PBE-GGA)

Data for an optimized crystal structure of Y2Tm3Bi2.

Cell and atoms, written as POSCAR:
```
Y2Tm3Bi2
1.0
4.330 0.000 0.000
-2.165 6.023 0.013
0.000 -2.729 8.105
Y Bi Tm
2 2 3
Cartesian
2.165 3.926 1.897
0.000 -0.632 6.221
2.165 1.699 6.587
0.000 1.595 1.531
2.165 0.000 0.000
2.165 0.305 3.597
0.000 2.989 4.520
```

Its formation energy is -0.45 eV per atom. The value obtained for the total energy is -5.326 eV per atom. As for the space-group type: No. 12.

No. 2
## Al2InRu (PBE-GGA)

Data for an optimized crystal structure of Al2InRu.

Cell and atoms, written as POSCAR:
```
Al2InRu
1.0
4.971 0.002 -0.001
1.795 4.635 0.001
-3.380 -2.323 2.809
In Al Ru
1 2 1
Cartesian
3.382 2.318 0.000
0.002 0.002 0.000
2.487 -0.001 1.404
0.897 2.315 1.405
```

Its formation energy is -0.13 eV per atom. The value obtained for the total energy is -5.003 eV per atom. As for the space-group type: No. 119.

No. 3
## Tm8GaAg2 (PBE-GGA)

Data for an optimized crystal structure of Tm8GaAg2.

Cell and atoms, written as POSCAR:
```
Tm8GaAg2
1.0
-2.475 0.930 4.355
-3.716 -5.652 -0.906
8.353 -2.751 2.355
Ag Tm Ga
2 8 1
Cartesian
2.218 -2.584 4.792
-0.057 -4.890 1.012
-1.609 -2.544 2.609
4.643 -1.660 2.994
-2.482 -5.814 2.810
0.510 -4.810 4.297
4.670 -2.935 6.261
3.770 -4.929 3.195
-2.509 -4.538 -0.457
1.651 -2.664 1.507
-1.238 0.465 2.178
```

Its formation energy is -0.21 eV per atom. The value obtained for the total energy is -4.255 eV per atom. As for the space-group type: No. 12.

No. 4
## Hf10Ga3Sb3 (PBE-GGA)

Data for an optimized crystal structure of Hf10Ga3Sb3.

Cell and atoms, written as POSCAR:
```
Hf10Ga3Sb3
1.0
5.650 0.000 0.000
0.000 7.134 -4.119
0.000 0.000 8.237
Hf Ga Sb
10 3 3
Cartesian
2.825 5.408 -3.123
4.279 4.756 0.000
2.825 0.000 6.245
2.825 1.725 0.996
1.370 4.756 0.000
0.000 0.000 2.071
4.279 2.378 4.119
1.370 2.378 4.119
0.000 5.340 3.083
0.000 1.794 -1.036
0.000 2.767 1.598
0.000 0.000 5.042
0.000 4.367 -2.521
2.825 0.000 3.275
2.825 2.836 -1.638
2.825 4.297 2.481
```

The energy relative to the elements, uncorrected is -0.48 eV per atom. The value obtained for the total energy is -8.044 eV per atom. As for the space-group type: No. 189.

No. 5
## Pm2Dy2Y6Sc (PBE-GGA)

Data for an optimized crystal structure of Pm2Dy2Y6Sc.

Cell and atoms, written as POSCAR:
```
Pm2Dy2Y6Sc
1.0
6.362 -0.358 -0.303
-3.456 5.353 -0.303
-1.558 -2.678 11.320
Y Dy Sc Pm
6 2 1 2
Cartesian
0.005 3.569 2.163
-1.752 0.548 8.552
0.099 0.170 2.966
1.343 -1.252 8.552
1.249 2.147 7.749
3.100 1.769 2.163
-1.069 2.173 5.357
2.417 0.144 5.357
-0.779 -1.339 5.660
-2.080 4.553 -0.303
4.986 0.442 -0.303
```

Its formation energy is 0.17 eV per atom. The value obtained for the total energy is -5.631 eV per atom. As for the space-group type: No. 12.

No. 6
## K5Ga4As4 (PBE-GGA)

Data for an optimized crystal structure of K5Ga4As4.

Cell and atoms, written as POSCAR:
```
K5Ga4As4
1.0
4.279 0.000 1.088
2.140 9.101 0.544
-0.103 0.000 9.364
K Ga As
5 4 4
Cartesian
0.000 0.000 0.000
4.132 5.936 1.667
4.956 8.504 7.385
2.184 3.165 9.330
1.360 0.597 3.611
3.218 5.947 5.261
1.362 4.306 3.601
3.098 3.154 5.736
4.954 4.795 7.395
5.688 6.940 4.506
2.569 6.136 7.814
3.747 2.965 3.183
0.628 2.161 6.491
```

Its formation energy is -0.29 eV per atom. The value obtained for the total energy is -3.073 eV per atom. As for the space-group type: No. 87.

No. 7
## AlTeIr3 (PBE-GGA)

Data for an optimized crystal structure of AlTeIr3.

Cell and atoms, written as POSCAR:
```
AlTeIr3
1.0
-4.192 0.857 -1.539
0.807 -2.598 -3.644
-1.566 -3.633 2.243
Ir Te Al
3 1 1
Cartesian
-0.783 -1.816 1.121
0.403 -1.299 -1.822
-2.096 0.429 -0.770
-2.476 -2.687 -1.470
0.000 0.000 0.000
```

The energy relative to the elements, uncorrected is 0.97 eV per atom. The value obtained for the total energy is -5.721 eV per atom. As for the space-group type: No. 221.

No. 8
## Zr3HN (PBE-GGA)

Data for an optimized crystal structure of Zr3HN.

Cell and atoms, written as POSCAR:
```
Zr3HN
1.0
3.283 0.000 0.000
0.000 5.978 -0.320
0.000 0.484 8.117
H Zr N
2 6 2
Cartesian
2.462 2.577 4.688
0.821 3.884 3.109
0.821 1.365 -0.041
0.821 4.025 5.242
2.462 5.459 2.672
2.462 2.437 2.554
0.821 1.003 5.125
2.462 5.096 7.838
2.462 0.668 1.138
0.821 5.793 6.659
```

The value obtained for the total energy is -8.054 eV per atom. As for the space-group type: No. 11.

No. 9
## Tb5Sm4Tm (PBE-GGA)

Data for an optimized crystal structure of Tb5Sm4Tm.

Cell and atoms, written as POSCAR:
```
Tb5Sm4Tm
1.0
5.965 0.000 0.000
2.982 7.513 0.000
2.982 0.000 7.513
Tm Tb Sm
1 5 4
Cartesian
1.284 0.000 0.000
4.109 0.000 0.000
5.696 7.512 4.679
8.679 2.834 7.512
2.714 4.679 0.001
5.696 0.001 2.834
5.646 2.427 5.087
2.663 2.426 2.427
5.646 5.085 2.426
8.628 5.087 5.085
```

Its formation energy is 0.25 eV per atom. The value obtained for the total energy is -4.405 eV per atom. As for the space-group type: No. 107.

No. 10
## Pm4MgGa2 (PBE-GGA)

Data for an optimized crystal structure of Pm4MgGa2.

Cell and atoms, written as POSCAR:
```
Pm4MgGa2
1.0
4.955 0.000 1.548
2.236 4.422 1.548
-0.037 -0.023 8.823
Mg Pm Ga
1 4 2
Cartesian
0.000 0.000 0.000
4.409 2.711 3.295
2.745 1.688 8.624
6.219 3.825 6.206
0.935 0.575 5.713
5.310 3.266 9.115
1.843 1.134 2.804
```

Its formation energy is -0.33 eV per atom. The value obtained for the total energy is -4.137 eV per atom. As for the space-group type: No. 166.

No. 11
## Sr2FeCl6 (PBE-GGA)

Data for an optimized crystal structure of Sr2FeCl6.

Cell and atoms, written as POSCAR:
```
Sr2FeCl6
1.0
-0.210 2.291 -6.213
-5.359 -5.102 -1.700
-6.582 6.153 2.286
Cl Sr Fe
12 4 2
Cartesian
-5.306 2.260 -0.201
-7.611 3.639 -2.919
-3.929 3.471 -3.518
-4.092 -1.161 -6.059
-8.223 -0.128 -2.109
-1.838 1.679 -0.201
-10.559 2.511 -1.345
-10.313 1.663 -5.426
-8.060 4.503 0.431
-6.845 1.082 -5.427
-1.592 0.832 -4.283
-4.540 -0.296 -2.708
-5.662 5.141 -1.339
-6.490 -1.799 -4.288
-3.967 1.791 -6.062
-8.185 1.552 0.434
-2.785 -1.405 -3.957
-3.291 3.077 1.143
```

The energy relative to the elements, uncorrected is -1.87 eV per atom. The value obtained for the total energy is -4.416 eV per atom. As for the space-group type: No. 14.

No. 12
## LaBe2Se (PBE-GGA)

Data for an optimized crystal structure of LaBe2Se.

Cell and atoms, written as POSCAR:
```
LaBe2Se
1.0
-0.824 2.371 2.234
-0.679 -2.442 2.206
6.033 0.170 2.046
Be La Se
2 1 1
Cartesian
5.553 0.157 1.883
3.496 0.099 1.186
0.756 0.007 2.731
3.773 0.092 3.754
```

The energy relative to the elements, uncorrected is 0.04 eV per atom. The value obtained for the total energy is -3.929 eV per atom. As for the space-group type: No. 65.